# 1
Mg2ZnHg | meta-GGA SCAN | PBEsol geometry

Cell: 4.746 4.746 4.746 Å, 60.00 60.00 60.00°
Sites, in units of the cell vectors:
Zn  0.250  0.250  0.250
Mg  0.000  0.000  0.000
Mg  0.750  0.750  0.750
Hg  0.500  0.500  0.500

Values from the calculation:
Its energy relative to the elements is -96 meV per atom. The space group is F-43m (216). The value obtained for the energy above the lowest structure with this stoichiometry is 152.3 meV/atom.

# 2
Mg2Zn2Hg | meta-GGA SCAN | PBEsol geometry

Cell: 4.114 4.114 6.698 Å, 107.88 107.88 90.00°
Sites, in units of the cell vectors:
Hg  0.000  0.000  0.000
Mg  0.250  0.750  0.500
Mg  0.750  0.250  0.500
Zn  0.598  0.598  0.196
Zn  0.402  0.402  0.804

Values from the calculation:
Its energy relative to the elements is 144 meV per atom. The space group is I4/mmm (139). The value obtained for the energy above the lowest structure with this stoichiometry is 305.4 meV/atom.

# 3
Mg2ZnHg | meta-GGA SCAN | PBEsol geometry

Cell: 3.421 4.699 4.699 Å, 89.53 90.00 90.00°
Sites, in units of the cell vectors:
Mg  0.000  0.500  0.000
Mg  0.000  0.000  0.500
Zn  0.500  0.000  0.000
Hg  0.500  0.500  0.500

Values from the calculation:
Its energy relative to the elements is -246 meV per atom. The space group is Cmmm (65). The value obtained for the energy above the lowest structure with this stoichiometry is 2.5 meV/atom.